Here is a relaxed Sm3InHg4 crystal from the Alexandria database. Energies are from GGA-PBE.

## Properties
**E_tot**: -2.582 eV per atom
**E_form**: -0.319 eV per atom

Unit cell a=3.722 b=7.935 c=8.859 alpha=116.61 beta=102.13 gamma=90.00
Sites, in units of the cell vectors:
Hg (0.366, 0.164, 0.731)
Hg (0.634, 0.433, 0.269)
Hg (0.634, 0.836, 0.269)
Hg (0.366, 0.567, 0.731)
Sm (0.000, 0.500, 0.000)
In (0.500, 0.000, 0.000)
Sm (0.808, 0.808, 0.616)
Sm (0.192, 0.192, 0.384)


Here is a relaxed Ho3Tm2Al crystal from the Alexandria database. Energies are from GGA-PBE.

## Properties
**E_tot**: -4.420 eV per atom
**E_form**: -0.017 eV per atom

Unit cell a=6.067 b=5.990 c=11.053 alpha=85.03 beta=80.15 gamma=59.57
Sites, in units of the cell vectors:
Ho (0.077, 0.345, 0.767)
Tm (0.168, 0.664, 0.500)
Ho (0.740, 0.000, 0.759)
Ho (0.260, 0.000, 0.241)
Ho (0.577, 0.345, 0.233)
Tm (0.500, 0.000, 0.500)
Tm (0.000, 0.000, 0.000)
Tm (0.832, 0.336, 0.500)
Al (0.347, 0.305, 0.000)
Ho (0.923, 0.655, 0.233)
Al (0.653, 0.695, 0.000)
Ho (0.423, 0.655, 0.767)


Here is a relaxed Ho8AgPt2 crystal from the Alexandria database. Energies are from GGA-PBE.

## Properties
**E_tot**: -5.138 eV per atom
**E_form**: -0.451 eV per atom

Unit cell a=5.558 b=7.855 c=7.855 alpha=114.39 beta=98.34 gamma=98.34
Sites, in units of the cell vectors:
Ag (0.003, 0.003, 0.003)
Pt (0.500, 0.307, 0.699)
Ho (0.811, 0.624, 0.624)
Ho (0.411, 0.672, 0.924)
Ho (0.000, 0.765, 0.241)
Ho (0.589, 0.082, 0.334)
Ho (0.189, 0.382, 0.382)
Ho (0.000, 0.241, 0.765)
Ho (0.411, 0.924, 0.672)
Ho (0.589, 0.334, 0.082)
Pt (0.500, 0.699, 0.307)


Here is a relaxed Mn2NiRu crystal from the Alexandria database. Energies are from GGA-PBE.

## Properties
**E_tot**: -8.326 eV per atom
**E_form**: 0.023 eV per atom

Unit cell a=2.971 b=2.971 c=5.883 alpha=90.00 beta=90.00 gamma=89.99
Site moments in Bohr magnetons follow the coordinates.
Sites, in units of the cell vectors:
Ni (0.500, 0.500, 0.250)  0.76
Mn (0.000, 0.000, 0.008)  3.26
Mn (0.000, 0.000, 0.492)  3.26
Ru (0.500, 0.500, 0.750)  0.00


Here is a relaxed AlOsPt crystal from the Alexandria database. Energies are from GGA-PBE.

## Properties
**E_tot**: -7.302 eV per atom
**E_form**: -0.298 eV per atom

Unit cell a=2.803 b=2.803 c=6.438 alpha=90.00 beta=90.00 gamma=120.00
Sites, in units of the cell vectors:
Al (0.000, 0.000, 0.000)
Os (0.667, 0.333, 0.316)
Pt (0.333, 0.667, 0.683)


Here is a relaxed ZnPdI2F crystal from the Alexandria database. Energies are from GGA-PBE.

## Properties
**E_tot**: -2.118 eV per atom
**Formation energy from raw total energies**: 170 meV/atom

Unit cell a=5.741 b=4.056 c=5.741 alpha=90.00 beta=90.00 gamma=90.00
Site moments in Bohr magnetons follow the coordinates.
Sites, in units of the cell vectors:
I (0.000, 0.000, 0.500)  0.24
Zn (0.500, 0.500, 0.500)  -0.01
I (0.500, 0.000, 0.000)  0.16
F (0.000, 0.000, 0.000)  0.10
Pd (0.000, 0.500, 0.000)  0.61